--- 1 ---
A plane-wave DFT calculation with PBE-GGA was carried out for crystalline VSbSCl2 at its relaxed geometry.

Summary:
ρ, g/cm³: 3.15
Volume, A^3/atom: 29.023

a b c (Å): 5.253 5.253 5.259
angles (deg): 90.00 90.00 90.00
Space group P4/mmm (No. 123)
Symmetry-distinct sites (fractional):
V 0.000 0.000 0.000 [1 per cell]
Sb 0.500 0.500 0.500 [1 per cell]
S 0.500 0.500 0.000 [1 per cell]
Cl 0.000 0.500 0.500 [2 per cell]

--- 2 ---
A plane-wave DFT calculation with PBE-GGA was carried out for crystalline VSbSCl2 at its relaxed geometry.

Summary:
ρ, g/cm³: 4.18
Volume, A^3/atom: 21.909

a b c (Å): 4.747 4.747 4.862
angles (deg): 90.00 90.00 90.00
Space group P4/mmm (No. 123)
Symmetry-distinct sites (fractional):
V 0.000 0.000 0.000 [1 per cell]
Sb 0.500 0.500 0.500 [1 per cell]
S 0.000 0.000 0.500 [1 per cell]
Cl 0.000 0.500 0.000 [2 per cell]

Which of them is most stable, and which least? Most stable: 2; least stable: 1.

--- 1 ---
A plane-wave DFT calculation with PBE-GGA was carried out for crystalline SbWSCl2 at its relaxed geometry.

Summary:
ρ, g/cm³: 6.09
Volume, A^3/atom: 22.293

a b c (Å): 4.870 4.870 4.700
angles (deg): 90.00 90.00 90.00
Space group P4/mmm (No. 123)
Symmetry-distinct sites (fractional):
Sb 0.000 0.000 0.000 [1 per cell]
W 0.500 0.500 0.500 [1 per cell]
S 0.500 0.500 0.000 [1 per cell]
Cl 0.000 0.500 0.500 [2 per cell]

--- 2 ---
A plane-wave DFT calculation with PBE-GGA was carried out for crystalline SbWSCl2 at its relaxed geometry.

Summary:
ρ, g/cm³: 4.75
Volume, A^3/atom: 28.563

a b c (Å): 5.151 5.151 5.382
angles (deg): 90.00 90.00 90.00
Space group P4/mmm (No. 123)
Symmetry-distinct sites (fractional):
Sb 0.000 0.000 0.000 [1 per cell]
W 0.500 0.500 0.500 [1 per cell]
S 0.000 0.000 0.500 [1 per cell]
Cl 0.000 0.500 0.000 [2 per cell]

Which of them is most stable, and which least? Most stable: 1; least stable: 2.